The following is a DFT calculation (PBE) of a geometry-optimized NdHfAsO structure.

Unit cell a=4.1454 b=4.1454 c=8.6045 alpha=90.00 beta=90.00 gamma=90.00
With the nearest neighbours (Å) after each atom.
Element x y z (fractional)
As (0.0000, 0.5000, 0.2480)  5 Hf 2.96-3.21, 4 O 2.97, 4 Nd 3.00
As (0.5000, 0.0000, 0.7520)  5 Hf 2.96-3.21, 4 O 2.97, 4 Nd 3.00
Hf (0.5000, 0.0000, 0.0958)  4 O 2.23
Hf (0.0000, 0.5000, 0.9042)  4 O 2.23
Nd (0.0000, 0.0000, 0.5000)  4 Nd 2.93, 4 As 3.00
Nd (0.5000, 0.5000, 0.5000)  4 Nd 2.93, 4 As 3.00
O (0.0000, 0.0000, 0.0000)  4 Hf 2.23
O (0.5000, 0.5000, 0.0000)  4 Hf 2.23

## Properties
Total magnetization   0.1 Bohr magnetons per cell
Polymorph energy (0 for the lowest one)   522 meV/atom
Volume   18.48 Å³ per atom
DFT total energy   -7.4527 eV per atom
Space group   P4/nmm (129)